A geometry-optimized CdTc2As structure. Source: Alexandria via LeMat-Bulk, functional PBE-GGA.

Cell: 2.9727 2.9727 25.5000 Å, 90.00 90.00 120.00°
With the nearest neighbours (Å) after each atom.
Space group R-3m (No. 166, hexagonal axes)
Unique sites:
Cd 0.0000 0.0000 0.0000 x3  6 Tc 2.94, 6 Cd 2.97
Tc 0.0000 0.0000 0.2398 x6  3 As 2.53
As 0.0000 0.0000 0.5000 x3  6 Tc 2.53

## Properties
As for the energy above the most stable polymorph in this dataset: 173 meV/atom.

A geometry-optimized CdTcAs3 structure. Source: Alexandria via LeMat-Bulk, functional PBE-GGA.

Cell: 4.8621 4.8621 4.8621 Å, 90.00 90.00 90.00°
With the nearest neighbours (Å) after each atom.
Space group Pm-3m (No. 221)
Unique sites:
Cd 0.0000 0.0000 0.0000 x1  12 As 3.44
Tc 0.5000 0.5000 0.5000 x1  6 As 2.43
As 0.0000 0.5000 0.5000 x3  2 Tc 2.43

## Properties
As for the energy above the most stable polymorph in this dataset: 0 meV/atom.

A geometry-optimized Cd2TcAs structure. Source: Alexandria via LeMat-Bulk, functional PBE-GGA.

Cell: 3.0485 3.0485 28.3765 Å, 90.00 90.00 120.00°
With the nearest neighbours (Å) after each atom.
Space group R-3m (No. 166, hexagonal axes)
Unique sites:
Cd 0.0000 0.0000 0.2470 x6  3 Tc 2.88, 3 As 3.02, 6 Cd 3.05
Tc 0.0000 0.0000 0.5000 x3  6 Cd 2.88, 6 Tc 3.05
As 0.0000 0.0000 0.0000 x3  6 Cd 3.02, 6 As 3.05

## Properties
The calculation puts the energy at -45.2 eV/cell.

A geometry-optimized CdTc2As structure. Source: Alexandria via LeMat-Bulk, functional PBE-GGA.

Cell: 6.3111 6.3111 6.3111 Å, 90.00 90.00 90.00°
With the nearest neighbours (Å) after each atom.
Space group Fm-3m (No. 225)
Unique sites:
Cd 0.0000 0.0000 0.0000 x4  8 Tc 2.73
Tc 0.2500 0.2500 0.2500 x8  4 Cd 2.73, 4 As 2.73
As 0.0000 0.0000 0.5000 x4  8 Tc 2.73

## Properties
As for the energy above the most stable polymorph in this dataset: 370 meV/atom.

A geometry-optimized CdTc2As structure. Source: Alexandria via LeMat-Bulk, functional PBE-GGA.

Cell: 3.0806 4.3643 9.7640 Å, 90.00 90.00 90.00°
With the nearest neighbours (Å) after each atom.
Space group Imm2 (No. 44)
Unique sites:
Cd 0.0000 0.0000 0.0000 x2  6 Tc 2.70-2.98, 2 As 2.97
Tc 0.0000 0.0000 0.5394 x2  2 As 2.49, 4 Cd 2.70
Tc 0.0000 0.5000 0.7928 x2  4 As 2.72, 2 Tc 2.86, 2 Cd 2.98
As 0.0000 0.5000 0.2400 x2  6 Tc 2.49-2.72

## Properties
As for the energy above the most stable polymorph in this dataset: 322 meV/atom.

A geometry-optimized CdTc2As structure. Source: Alexandria via LeMat-Bulk, functional PBE-GGA.

Cell: 2.9002 2.9002 28.3429 Å, 90.00 90.00 120.00°
With the nearest neighbours (Å) after each atom.
Space group R3m (No. 160, hexagonal axes)
Unique sites:
Cd 0.0000 0.0000 0.0000 x3  6 Cd 2.90, 3 Tc 2.98
Tc 0.0000 0.0000 0.4921 x3  3 As 2.62, 9 Tc 2.64-2.90
Tc 0.0000 0.0000 0.7537 x3  9 Tc 2.64-2.90
As 0.0000 0.0000 0.2301 x3  3 Tc 2.62, 6 As 2.90

## Properties
As for the energy above the most stable polymorph in this dataset: 80 meV/atom.

A geometry-optimized CdTc2As structure. Source: Alexandria via LeMat-Bulk, functional PBE-GGA.

Cell: 8.8726 2.9632 5.3883 Å, 90.00 99.29 90.00°
With the nearest neighbours (Å) after each atom.
Space group Cm (No. 8)
Unique sites:
Cd 0.0000 0.0000 0.0000 x2  3 As 2.93-3.07, 7 Tc 2.93-3.16, 2 Cd 2.96
Tc 0.0058 0.5000 0.5187 x2  3 Tc 2.61-2.67, 3 As 2.67-2.68
Tc 0.2500 0.0000 0.6979 x2  2 As 2.52, 3 Tc 2.61-2.67
As 0.2650 0.5000 0.3244 x2  5 Tc 2.52-2.68

## Properties
As for the energy above the most stable polymorph in this dataset: 294 meV/atom.

A geometry-optimized Cd2TcAs structure. Source: Alexandria via LeMat-Bulk, functional PBE-GGA.

Cell: 4.1584 4.1584 8.5871 Å, 90.00 90.00 90.00°
With the nearest neighbours (Å) after each atom.
Space group I-4m2 (No. 119)
Unique sites:
Cd 0.0000 0.0000 0.0000 x2  4 As 2.94, 4 Cd 2.99, 4 Tc 2.99
Cd 0.0000 0.5000 0.2500 x2  4 Tc 2.94, 4 Cd 2.99, 4 As 2.99
Tc 0.0000 0.5000 0.7500 x2  8 Cd 2.94-2.99, 4 As 2.99
As 0.0000 0.0000 0.5000 x2  8 Cd 2.94-2.99, 4 Tc 2.99

## Properties
The calculation puts the energy at -30.6 eV/cell.

A geometry-optimized CdTc2As structure. Source: Alexandria via LeMat-Bulk, functional PBE-GGA.

Cell: 2.9213 4.7893 10.4683 Å, 90.00 90.00 90.00°
With the nearest neighbours (Å) after each atom.
Space group Cmm2 (No. 35)
Unique sites:
Cd 0.0000 0.0000 0.0000 x2  6 Cd 2.80-2.92, 2 Tc 2.99
Tc 0.0000 0.0000 0.5492 x2  6 Tc 2.57-2.80, 2 As 2.63
Tc 0.0000 0.5000 0.7510 x2  6 Tc 2.57-2.80
As 0.0000 0.5000 0.3402 x2  2 Tc 2.63, 6 As 2.80-2.92

## Properties
As for the energy above the most stable polymorph in this dataset: 272 meV/atom.

A geometry-optimized Cd2TeAs structure. Source: Alexandria via LeMat-Bulk, functional PBE-GGA.

Cell: 3.1163 3.1163 35.4552 Å, 90.00 90.00 120.00°
With the nearest neighbours (Å) after each atom.
Space group R-3m (No. 166, hexagonal axes)
Unique sites:
Cd 0.0000 0.0000 0.2387 x6  6 Cd 3.12, 3 As 3.12
Te 0.0000 0.0000 0.0000 x3  6 Te 3.12
As 0.0000 0.0000 0.5000 x3  6 As 3.12, 6 Cd 3.12

## Properties
As for the energy above the most stable polymorph in this dataset: 352 meV/atom.

A geometry-optimized CdTeAs structure. Source: Alexandria via LeMat-Bulk, functional PBE-GGA.

Cell: 6.9294 6.9294 6.9294 Å, 90.00 90.00 90.00°
With the nearest neighbours (Å) after each atom.
Space group F-43m (No. 216)
Unique sites:
Cd 0.0000 0.0000 0.0000 x4  4 As 3.00, 4 Te 3.00
Te 0.2500 0.2500 0.2500 x4  4 Cd 3.00
As 0.2500 0.2500 0.7500 x4  4 Cd 3.00

## Properties
As for the energy above the most stable polymorph in this dataset: 212 meV/atom.

A geometry-optimized CdTeAs structure. Source: Alexandria via LeMat-Bulk, functional PBE-GGA.

Cell: 3.3354 3.3354 8.2298 Å, 90.00 90.00 120.00°
With the nearest neighbours (Å) after each atom.
Space group P3m1 (No. 156)
Unique sites:
Cd 0.0000 0.0000 0.0000 x1  3 As 2.86, 3 Te 3.13
Te 0.6667 0.3333 0.3005 x1  3 Cd 3.13, 6 Te 3.34
As 0.3333 0.6667 0.7436 x1  3 Cd 2.86

## Properties
As for the energy above the most stable polymorph in this dataset: 215 meV/atom.

Number 1: size of the total moment 0.0 μB/f.u.. Number 2: size of the total moment 0.0 μB/f.u.. Number 3: size of the total moment 1.2 μB/f.u.. Number 4: size of the total moment 0.0 μB/f.u.. Number 5: size of the total moment 0.0 μB/f.u.. Number 6: size of the total moment 0.0 μB/f.u.. Number 7: size of the total moment 0.0 μB/f.u.. Number 8: size of the total moment 1.7 μB/f.u.. Number 9: size of the total moment 0.0 μB/f.u.. Number 10: size of the total moment 0.0 μB/f.u.. Number 11: size of the total moment 0.0 μB/f.u.. Number 12: size of the total moment 0.0 μB/f.u..